(1)
DFT (GGA-PBE) results for crystalline BaZnBr4 at its relaxed geometry.

For the volume, the calculation gives 795.1 Å³ per cell. For the formation energy without anion corrections, the calculation gives -506.1 meV/atom. The density of states at the Fermi level is 2.5 states/eV/f.u. As for the total energy: -2.154 eV per atom.

Cell and atoms, written as CIF:
```
data_BaZnBr4
_chemical_formula_sum 'Ba4 Zn4 Br16'
_space_group_name_H-M_alt 'F -4 3 m'
_space_group_IT_number 216
_space_group_name_Hall 'F -4 2 3'
_cell_length_a 9.264
_cell_length_b 9.264
_cell_length_c 9.264
_cell_angle_alpha 90.00
_cell_angle_beta 90.00
_cell_angle_gamma 90.00
loop_
_atom_site_label
_atom_site_type_symbol
_atom_site_fract_x
_atom_site_fract_y
_atom_site_fract_z
_atom_site_occupancy
Ba1 Ba 0.000 0.000 0.000 1
Zn1 Zn 0.250 0.250 0.250 1
Br1 Br 0.125 0.125 0.625 1
```

---

(2)
DFT (GGA-PBE) results for crystalline Ba2ZnBr2 at its relaxed geometry.

For the volume, the calculation gives 368.5 Å³ per cell. For the formation energy without anion corrections, the calculation gives -1091.1 meV/atom. The density of states at the Fermi level is 3.4 states/eV/f.u. As for the total energy: -2.784 eV per atom.

Cell and atoms, written as CIF:
```
data_Ba2ZnBr2
_chemical_formula_sum 'Ba4 Zn2 Br4'
_space_group_name_H-M_alt 'P 4/m b m'
_space_group_IT_number 127
_space_group_name_Hall '-P 4 2ab'
_cell_length_a 9.133
_cell_length_b 9.133
_cell_length_c 4.418
_cell_angle_alpha 90.00
_cell_angle_beta 90.00
_cell_angle_gamma 90.00
loop_
_atom_site_label
_atom_site_type_symbol
_atom_site_fract_x
_atom_site_fract_y
_atom_site_fract_z
_atom_site_occupancy
Ba1 Ba 0.172 0.328 0.000 1
Zn1 Zn 0.000 0.000 0.000 1
Br1 Br 0.133 0.633 0.500 1
```

---

(3)
DFT (GGA-PBE) results for crystalline Ba2Zn2Br at its relaxed geometry.

For the volume, the calculation gives 509.0 Å³ per cell. For the formation energy without anion corrections, the calculation gives -823.2 meV/atom. The density of states at the Fermi level is 2.9 states/eV/f.u. As for the total energy: -2.436 eV per atom.

Cell and atoms, written as CIF:
```
data_Ba2Zn2Br
_chemical_formula_sum 'Ba6 Zn6 Br3'
_space_group_name_H-M_alt 'R -3 m'
_space_group_IT_number 166
_space_group_name_Hall '-R 3 2"'
_cell_length_a 4.6489
_cell_length_b 4.6489
_cell_length_c 27.1951
_cell_angle_alpha 90.00
_cell_angle_beta 90.00
_cell_angle_gamma 120.00
loop_
_atom_site_label
_atom_site_type_symbol
_atom_site_fract_x
_atom_site_fract_y
_atom_site_fract_z
_atom_site_occupancy
Ba1 Ba 0.0000 0.0000 0.0806 1
Zn1 Zn 0.0000 0.0000 0.3330 1
Br1 Br 0.0000 0.0000 0.5000 1
```

---

(4)
DFT (GGA-PBE) results for crystalline BaZn2Br2 at its relaxed geometry.

For the volume, the calculation gives 322.8 Å³ per cell. For the formation energy without anion corrections, the calculation gives -950.9 meV/atom. The density of states at the Fermi level is 1.1 states/eV/f.u. As for the total energy: -2.514 eV per atom.

Cell and atoms, written as CIF:
```
data_BaZn2Br2
_chemical_formula_sum 'Ba2 Zn4 Br4'
_space_group_name_H-M_alt 'I 4/m m m'
_space_group_IT_number 139
_space_group_name_Hall '-I 4 2'
_cell_length_a 3.956
_cell_length_b 3.956
_cell_length_c 20.624
_cell_angle_alpha 90.00
_cell_angle_beta 90.00
_cell_angle_gamma 90.00
loop_
_atom_site_label
_atom_site_type_symbol
_atom_site_fract_x
_atom_site_fract_y
_atom_site_fract_z
_atom_site_occupancy
Ba1 Ba 0.000 0.000 0.000 1
Zn1 Zn 0.000 0.500 0.250 1
Br1 Br 0.000 0.000 0.412 1
```

---

(5)
DFT (GGA-PBE) results for crystalline Ba4Zn2Br at its relaxed geometry.

For the volume, the calculation gives 659.0 Å³ per cell. For the formation energy without anion corrections, the calculation gives -424.2 meV/atom. The density of states at the Fermi level is 10.0 states/eV/f.u. As for the total energy: -2.126 eV per atom.

Cell and atoms, written as CIF:
```
data_Ba4Zn2Br
_chemical_formula_sum 'Ba8 Zn4 Br2'
_space_group_name_H-M_alt 'I 4/m m m'
_space_group_IT_number 139
_space_group_name_Hall '-I 4 2'
_cell_length_a 6.461
_cell_length_b 6.461
_cell_length_c 15.786
_cell_angle_alpha 90.00
_cell_angle_beta 90.00
_cell_angle_gamma 90.00
loop_
_atom_site_label
_atom_site_type_symbol
_atom_site_fract_x
_atom_site_fract_y
_atom_site_fract_z
_atom_site_occupancy
Ba1 Ba 0.000 0.000 0.214 1
Ba2 Ba 0.000 0.500 0.000 1
Zn1 Zn 0.000 0.000 0.420 1
Br1 Br 0.000 0.000 0.000 1
```

---

(6)
DFT (GGA-PBE) results for crystalline BaZnBr4 at its relaxed geometry.

For the volume, the calculation gives 934.0 Å³ per cell. For the formation energy without anion corrections, the calculation gives -1530.2 meV/atom. The density of states at the Fermi level is 0.0 states/eV/f.u. As for the total energy: -3.178 eV per atom.

Cell and atoms, written as CIF:
```
data_BaZnBr4
_chemical_formula_sum 'Ba4 Zn4 Br16'
_space_group_name_H-M_alt 'I 41/a m d'
_space_group_IT_number 141
_cell_length_a 10.371
_cell_length_b 10.371
_cell_length_c 8.683
_cell_angle_alpha 90.00
_cell_angle_beta 90.00
_cell_angle_gamma 90.00
loop_
_space_group_symop_operation_xyz
'x,y,z'
'-x,-y,-z'
'-y+1/4,x+3/4,z+1/4'
'y+1/4,-x+3/4,-z+1/4'
'-x+1/2,-y,z+1/2'
'x+1/2,y,-z+1/2'
'y+1/4,-x+1/4,z+3/4'
'-y+1/4,x+1/4,-z+3/4'
'x,-y,-z'
'-x,y,z'
'-y+1/4,-x+1/4,-z+3/4'
'y+1/4,x+1/4,z+3/4'
'-x+1/2,y,-z+1/2'
'x+1/2,-y,z+1/2'
'y+1/4,x+3/4,-z+1/4'
'-y+1/4,-x+3/4,z+1/4'
'x+1/2,y+1/2,z+1/2'
'-x+1/2,-y+1/2,-z+1/2'
'-y+3/4,x+1/4,z+3/4'
'y+3/4,-x+1/4,-z+3/4'
'-x,-y+1/2,z'
'x,y+1/2,-z'
'y+3/4,-x+3/4,z+1/4'
'-y+3/4,x+3/4,-z+1/4'
'x+1/2,-y+1/2,-z+1/2'
'-x+1/2,y+1/2,z+1/2'
'-y+3/4,-x+3/4,-z+1/4'
'y+3/4,x+3/4,z+1/4'
'-x,y+1/2,-z'
'x,-y+1/2,z'
'y+3/4,x+1/4,-z+3/4'
'-y+3/4,-x+1/4,z+3/4'
loop_
_atom_site_label
_atom_site_type_symbol
_atom_site_fract_x
_atom_site_fract_y
_atom_site_fract_z
_atom_site_occupancy
Ba1 Ba 0.000 0.250 0.375 1
Zn1 Zn 0.000 0.250 0.875 1
Br1 Br 0.000 0.069 0.696 1
```

---

(7)
DFT (GGA-PBE) results for crystalline BaZrBr at its relaxed geometry.

For the volume, the calculation gives 366.1 Å³ per cell. For the formation energy without anion corrections, the calculation gives -194.9 meV/atom. The density of states at the Fermi level is 3.3 states/eV/f.u. As for the total energy: -4.243 eV per atom.

Cell and atoms, written as CIF:
```
data_BaZrBr
_chemical_formula_sum 'Ba4 Zr4 Br4'
_space_group_name_H-M_alt 'F m m 2'
_space_group_IT_number 42
_space_group_name_Hall 'F 2 -2'
_cell_length_a 4.491
_cell_length_b 5.529
_cell_length_c 14.744
_cell_angle_alpha 90.00
_cell_angle_beta 90.00
_cell_angle_gamma 90.00
loop_
_atom_site_label
_atom_site_type_symbol
_atom_site_fract_x
_atom_site_fract_y
_atom_site_fract_z
_atom_site_occupancy
Ba1 Ba 0.000 0.000 0.000 1
Zr1 Zr 0.000 0.000 0.689 1
Br1 Br 0.000 0.000 0.315 1
```

---

(8)
DFT (GGA-PBE) results for crystalline BaZrBr at its relaxed geometry.

For the volume, the calculation gives 436.4 Å³ per cell. For the formation energy without anion corrections, the calculation gives 243.1 meV/atom. The density of states at the Fermi level is 2.0 states/eV/f.u. As for the total energy: -3.805 eV per atom.

Cell and atoms, written as CIF:
```
data_BaZrBr
_chemical_formula_sum 'Ba4 Zr4 Br4'
_space_group_name_H-M_alt 'F -4 3 m'
_space_group_IT_number 216
_space_group_name_Hall 'F -4 2 3'
_cell_length_a 7.585
_cell_length_b 7.585
_cell_length_c 7.585
_cell_angle_alpha 90.00
_cell_angle_beta 90.00
_cell_angle_gamma 90.00
loop_
_atom_site_label
_atom_site_type_symbol
_atom_site_fract_x
_atom_site_fract_y
_atom_site_fract_z
_atom_site_occupancy
Ba1 Ba 0.000 0.000 0.000 1
Zr1 Zr 0.000 0.000 0.500 1
Br1 Br 0.250 0.250 0.250 1
```